(1)
5
Lattice="5.089 0.000 0.000 0.000 5.089 0.000 0.000 0.000 5.455" Properties=species:S:1:pos:R:3 comment="MnSeBr2Cl | Alexandria via LeMat-Bulk | GGA-PBE | relaxed" final_energy_ev_per_atom=-2.885 raw_formation_energy_ev_per_fu=3.4 magnetic_moment_mub_per_fu=5.170 polymorph_energy_ev_per_atom=0.4645 pbc="T T T"
Mn 0.000 0.000 0.000
Se 2.544 2.544 0.000
Br 0.000 2.544 2.727
Br 2.544 0.000 2.727
Cl 2.544 2.544 2.727

***

(2)
12
Lattice="7.139 -4.031 0.000 7.139 4.031 0.000 -0.395 0.000 6.401" Properties=species:S:1:pos:R:3 comment="MnSn3Br2Cl6 | Alexandria via LeMat-Bulk | GGA-PBE | relaxed" final_energy_ev_per_atom=-3.897 raw_formation_energy_ev_per_fu=-11.2 magnetic_moment_mub_per_fu=4.992 pbc="T T T"
Mn 0.000 0.000 0.000
Sn 3.570 2.016 0.000
Sn 3.570 -2.016 0.000
Sn 6.942 0.000 3.201
Br 4.266 0.000 4.489
Br 9.618 0.000 1.912
Cl 2.074 0.000 1.390
Cl 6.045 2.145 1.445
Cl 7.839 2.145 4.956
Cl 6.045 -2.145 1.445
Cl 7.839 -2.145 4.956
Cl 11.810 0.000 5.012

***

(3)
14
Lattice="6.917 -4.518 0.000 6.917 4.518 0.000 -2.308 0.000 8.423" Properties=species:S:1:pos:R:3 comment="SrMnBrCl4 | Alexandria via LeMat-Bulk | GGA-PBE | relaxed" final_energy_ev_per_atom=-4.294 raw_formation_energy_ev_per_fu=-10.1 magnetic_moment_mub_per_fu=5.000 pbc="T T T"
Sr 2.182 0.000 3.122
Sr 9.345 0.000 5.301
Mn 0.352 0.000 6.830
Mn 11.174 0.000 1.593
Br 5.009 0.000 5.090
Br 6.518 0.000 3.333
Cl -0.351 0.000 1.884
Cl 1.346 1.717 5.469
Cl 3.539 0.000 0.545
Cl 1.346 -1.717 5.469
Cl 10.180 1.717 2.954
Cl 7.987 0.000 7.878
Cl 10.180 -1.717 2.954
Cl 11.877 0.000 6.539

***

(4)
5
Lattice="4.570 0.000 0.000 0.000 4.570 0.000 0.000 0.000 6.211" Properties=species:S:1:pos:R:3 comment="Mn2TeBrCl | Alexandria via LeMat-Bulk | GGA-PBE | relaxed" final_energy_ev_per_atom=-4.478 raw_formation_energy_ev_per_fu=2.6 magnetic_moment_mub_per_fu=8.287 pbc="T T T"
Mn 0.000 2.285 0.000
Mn 2.285 0.000 0.000
Te 0.000 0.000 3.106
Br 2.285 2.285 3.106
Cl 2.285 2.285 0.000

***

(5)
10
Lattice="-3.592 3.592 5.783 3.592 -3.592 5.783 3.592 3.592 -5.783" Properties=species:S:1:pos:R:3 comment="MnTlBr2Cl | Alexandria via LeMat-Bulk | GGA-PBE | relaxed" final_energy_ev_per_atom=-4.201 raw_formation_energy_ev_per_fu=-4.3 magnetic_moment_mub_per_fu=5.000 polymorph_energy_ev_per_atom=0.0006 pbc="T T T"
Mn 0.000 0.000 0.000
Mn 0.000 0.000 5.783
Tl 3.592 0.000 2.531
Tl 0.000 3.592 2.531
Br 2.209 1.383 -0.536
Br 2.209 -1.383 5.247
Br 1.383 4.975 -0.536
Br 1.383 2.209 5.247
Cl 0.000 0.000 2.348
Cl 0.000 0.000 8.131

***

(6)
12
Lattice="10.007 0.000 0.000 0.000 5.262 4.006 0.000 -5.262 4.006" Properties=species:S:1:pos:R:3 comment="MnTl5Br2Cl4 | Alexandria via LeMat-Bulk | GGA-PBE | relaxed" final_energy_ev_per_atom=-3.457 raw_formation_energy_ev_per_fu=-9.8 magnetic_moment_mub_per_fu=4.840 pbc="T T T"
Mn 0.000 0.000 0.000
Tl 2.456 -1.905 4.139
Tl 2.456 1.905 4.139
Tl 5.004 0.000 0.032
Tl 7.551 -1.905 4.139
Tl 7.551 1.905 4.139
Br 5.004 -2.522 2.136
Br 5.004 2.522 2.136
Cl 0.000 -3.356 2.603
Cl 0.000 3.356 2.603
Cl 1.922 0.000 1.364
Cl 8.086 0.000 1.364